Material: PmNd6Pb
Method: DFT, PBE-GGA
State: optimized geometry

CIF file:
```
data_PmNd6Pb
_chemical_formula_sum 'Pm1 Nd6 Pb1'
_cell_length_a 5.0389
_cell_length_b 5.0389
_cell_length_c 10.4781
_cell_angle_alpha 90.00
_cell_angle_beta 90.00
_cell_angle_gamma 90.00
_symmetry_space_group_name_H-M 'P 1'
_symmetry_Int_Tables_number 1
loop_
_symmetry_equiv_pos_as_xyz
'x,y,z'
loop_
_atom_site_label
_atom_site_fract_x
_atom_site_fract_y
_atom_site_fract_z
_atom_site_occupancy
Pm1 0.0000 0.0000 0.0000 1
Nd1 0.0000 0.5000 0.2572 1
Nd2 0.0000 0.5000 0.7428 1
Nd3 0.5000 0.0000 0.2572 1
Nd4 0.5000 0.0000 0.7428 1
Nd5 0.5000 0.5000 0.0000 1
Nd6 0.5000 0.5000 0.5000 1
Pb1 0.0000 0.0000 0.5000 1
```

Calculated values
electronic total energy	-4.78	eV per atom
M_tot	0.00	μB per formula unit
theoretical density	7.600	g/cm³
E_form	-0.14	eV per atom
offset from the most stable computed form	0	meV/atom
V	266.0	Å³ per cell